YTa2Hg PBEsol relaxed; magnetic moment = 0.00 μB/atom; DFT formation energy = 145 meV per atom; SG = Cmm2 (35); N(E_F) = 4.0 states/eV per cell
1.0
1.805 -2.368 0.000
1.805 2.368 0.000
0.000 0.000 9.477
Y Ta Hg
1 2 1
Cartesian
0.000 0.000 0.000
0.000 0.000 4.582
1.805 0.000 2.488
1.805 0.000 6.909